# 1
InSb2TeOs PBE relaxed; ΔE_f (raw) = 514 meV per atom; total magnetization = 0.00 Bohr magnetons per cell
1.0
5.070 0.000 0.000
0.000 5.070 0.000
0.000 0.000 6.004
In Sb Te Os
1 2 1 1
Cartesian
0.000 0.000 0.000 In
0.000 2.535 3.002 Sb
2.535 0.000 3.002 Sb
2.535 2.535 0.000 Te
2.535 2.535 3.002 Os

=====

# 2
Sc2MoP2 PBE relaxed; energy of formation = -5.3 eV per formula unit; total magnetization = 0.00 Bohr magnetons per cell
1.0
6.498 0.000 0.000
0.000 6.498 0.000
0.000 0.000 3.796
Sc Mo P
4 2 4
Cartesian
1.120 2.129 0.000 Sc
2.129 5.378 0.000 Sc
4.369 1.120 0.000 Sc
5.378 4.369 0.000 Sc
0.000 0.000 1.898 Mo
3.249 3.249 1.898 Mo
0.865 4.114 1.898 P
2.384 0.865 1.898 P
4.114 5.633 1.898 P
5.633 2.384 1.898 P

=====

# 3
In2SiSb PBE relaxed; ΔE_f (raw) = 325 meV per atom; total magnetization = 0.00 Bohr magnetons per cell
1.0
4.100 0.000 0.000
0.000 4.788 0.000
0.000 0.000 4.969
In Si Sb
2 1 1
Cartesian
0.000 0.000 0.000 In
2.050 2.394 0.000 In
0.000 2.394 2.484 Si
2.050 0.000 2.484 Sb

=====

# 4
Pa2GaCu PBE relaxed; energy of formation = 1.3 eV per formula unit; total magnetization = 0.69 Bohr magnetons per cell
1.0
1.511 0.872 10.983
-1.511 0.872 10.983
0.000 -1.745 10.983
Pa Ga Cu
2 1 1
Cartesian
0.000 0.000 2.910 Pa
0.000 0.000 30.039 Pa
0.000 0.000 16.474 Ga
0.000 0.000 0.000 Cu

=====

Number 1: energy -4.557 eV per atom. Number 2: energy -7.917 eV per atom. Number 3: energy -3.431 eV per atom. Number 4: energy -6.195 eV per atom.